Entry 1:
A plane-wave DFT calculation with GGA-PBE was carried out for a geometry-optimized LaPr4Te5 structure.

Values from the calculation:
Space group: I4/mmm
Density of states at the Fermi level: 5.49 states/eV/cell
Raw formation energy: -1.47 eV per atom
Magnetization: 0.000 μB/atom
Crystal system: tetragonal

```
LaPr4Te5
1.0
-2.268 2.268 16.117
2.268 -2.268 16.117
2.268 2.268 -16.117
La Pr Te
1 4 5
Cartesian
0.000 0.000 0.000
0.000 0.000 6.352
0.000 0.000 12.824
0.000 0.000 19.411
0.000 0.000 25.882
0.000 0.000 3.198
0.000 0.000 9.605
0.000 0.000 16.117
0.000 0.000 22.629
0.000 0.000 29.036
```



Entry 2:
A plane-wave DFT calculation with GGA-PBE was carried out for a geometry-optimized Na2LaUN4 structure.

Values from the calculation:
Space group: P2/m
Density of states at the Fermi level: 3.29 states/eV/cell
Raw formation energy: -0.83 eV per atom
Magnetization: 0.000 μB/atom
Crystal system: monoclinic

```
Na2LaUN4
1.0
6.049 0.000 0.000
0.000 3.644 0.000
-2.048 0.000 5.826
Na La U N
2 1 1 4
Cartesian
0.000 0.000 0.000
-1.024 1.822 2.913
2.000 0.000 2.913
3.025 1.822 0.000
0.238 0.000 4.592
1.442 1.822 1.242
2.559 1.822 4.584
3.763 0.000 1.234
```



Entry 3:
A plane-wave DFT calculation with GGA-PBE was carried out for a geometry-optimized DyTm3Ru4 structure.

Values from the calculation:
Space group: P4/mmm
Density of states at the Fermi level: 9.94 states/eV/cell
Magnetization: 0.000 μB/atom
Crystal system: tetragonal
Formation energy from the elements: -0.39 eV/atom

```
DyTm3Ru4
1.0
4.756 0.000 0.000
0.000 4.756 0.000
0.000 0.000 6.741
Dy Tm Ru
1 3 4
Cartesian
0.000 0.000 0.000
0.000 0.000 3.371
2.378 2.378 0.000
2.378 2.378 3.371
0.000 2.378 1.696
0.000 2.378 5.046
2.378 0.000 1.696
2.378 0.000 5.046
```



no.,density (g/cm³)
1,6.71
2,6.19
3,11.69